! BaTcPO (PBE-GGA, optimized geometry); values from VASP
&SYSTEM
  ibrav = 0, nat = 8, ntyp = 4
/
ATOMIC_SPECIES
O 16.00 O.upf
P 30.97 P.upf
Ba 137.33 Ba.upf
Tc 98.00 Tc.upf
ATOMIC_POSITIONS crystal
O 0.000 0.000 0.000
O 0.500 0.500 0.000
P 0.500 0.000 0.402
P 0.000 0.500 0.598
Ba 0.000 0.500 0.138
Ba 0.500 0.000 0.862
Tc 0.000 0.000 0.500
Tc 0.500 0.500 0.500
CELL_PARAMETERS angstrom
4.272 0.000 0.000
0.000 4.272 0.000
0.000 0.000 9.664
! SG: No. 129
! V: 22.047 A^3/atom
! polymorph energy (0 for the lowest one): 0 meV per atom